A relaxed Na2VCdO4 crystal. Source: Alexandria, functional PBE with a Hubbard U.

Output
As for the space-group type: No. 82. The calculation puts the raw total energy at -5.498 eV per atom.

```
Na2VCdO4
1.0
-3.693 3.209 -3.481
-0.439 -5.703 1.829
0.706 0.098 5.962
Na V Cd O
2 1 1 4
Direct
0.500 0.750 0.250 Na
0.000 0.000 0.000 Na
0.000 0.500 0.500 V
0.500 0.250 0.750 Cd
0.590 0.400 0.415 O
0.015 0.190 0.600 O
0.985 0.585 0.175 O
0.410 0.825 0.810 O
```